Entry 1:
## Nd3Sm2In7 (GGA-PBE)

Data for a relaxed structure of Nd3Sm2In7.

Summary:
The calculation puts the density of states at the Fermi level at 9.2 states/eV/f.u. Its crystal system is orthorhombic. The value obtained for the formation energy is -24 kJ per mole of atoms. As for the total energy: -3.821 eV per atom.

Cell lengths 12.866, 12.866, 5.510 Å; angles 90.00, 90.00, 156.44 degrees
Positions (direct):
Nd (0.000, 0.000, 0.000)
Nd (0.157, 0.843, 0.000)
Nd (0.843, 0.157, 0.000)
Sm (0.356, 0.644, 0.500)
Sm (0.644, 0.356, 0.500)
In (0.073, 0.927, 0.500)
In (0.226, 0.774, 0.500)
In (0.422, 0.578, 0.000)
In (0.500, 0.500, 0.500)
In (0.578, 0.422, 0.000)
In (0.774, 0.226, 0.500)
In (0.927, 0.073, 0.500)

=====

Entry 2:
## NdSm2In9 (GGA-PBE)

Data for a relaxed structure of NdSm2In9.

Summary:
The calculation puts the density of states at the Fermi level at 5.2 states/eV/f.u. Its crystal system is tetragonal. The value obtained for the formation energy is -45 kJ per mole of atoms. As for the total energy: -3.701 eV per atom.

Cell lengths 4.695, 4.695, 14.086 Å; angles 90.00, 90.00, 90.00 degrees
Positions (direct):
Nd (0.000, 0.000, 0.000)
Sm (0.000, 0.000, 0.334)
Sm (0.000, 0.000, 0.666)
In (0.000, 0.500, 0.168)
In (0.000, 0.500, 0.500)
In (0.000, 0.500, 0.832)
In (0.500, 0.000, 0.168)
In (0.500, 0.000, 0.500)
In (0.500, 0.000, 0.832)
In (0.500, 0.500, 0.000)
In (0.500, 0.500, 0.334)
In (0.500, 0.500, 0.666)

=====

Entry 3:
## NdSm5In2 (GGA-PBE)

Data for a relaxed structure of NdSm5In2.

Summary:
The calculation puts the density of states at the Fermi level at 9.0 states/eV/f.u. As for the energy above the most stable polymorph in this dataset: 0.121 eV/atom. Its crystal system is orthorhombic. The value obtained for the formation energy is -15 kJ per mole of atoms. As for the total energy: -4.382 eV per atom.

Cell lengths 6.635, 6.635, 15.817 Å; angles 90.00, 90.00, 132.31 degrees
Positions (direct):
Nd (0.238, 0.762, 0.750)
Nd (0.762, 0.238, 0.250)
Sm (0.042, 0.958, 0.250)
Sm (0.142, 0.858, 0.528)
Sm (0.142, 0.858, 0.972)
Sm (0.460, 0.540, 0.605)
Sm (0.460, 0.540, 0.895)
Sm (0.540, 0.460, 0.105)
Sm (0.540, 0.460, 0.395)
Sm (0.858, 0.142, 0.028)
Sm (0.858, 0.142, 0.472)
Sm (0.958, 0.042, 0.750)
In (0.279, 0.721, 0.142)
In (0.279, 0.721, 0.358)
In (0.721, 0.279, 0.642)
In (0.721, 0.279, 0.858)